Material: NbPd2Pt3
Method: DFT, GGA-PBE
State: relaxed

Computed properties:
Crystal system: orthorhombic
Raw total energy in eV/atom: -6.712
SG: Cmcm
Energy above the lowest structure with this stoichiometry in eV per atom: 0.1801

a = 7.4260 Å, b = 7.4260 Å, c = 5.0993 Å
α = 90.00°, β = 90.00°, γ = 136.22°
Closest atoms and distances in Å follow each position.
Atoms (fractional coordinates):
1 Nb 0.1526 0.8474 0.7500  8 Pt 2.73-2.91, 4 Pd 2.82
2 Nb 0.8474 0.1526 0.2500  8 Pt 2.73-2.91, 4 Pd 2.82
3 Pd 0.2485 0.2485 0.0000  4 Pd 2.55-2.78, 4 Pt 2.76-2.82, 2 Nb 2.82
4 Pd 0.2485 0.2485 0.5000  4 Pd 2.55-2.78, 4 Pt 2.76-2.82, 2 Nb 2.82
5 Pd 0.7515 0.7515 0.0000  4 Pd 2.55-2.78, 4 Pt 2.76-2.82, 2 Nb 2.82
6 Pd 0.7515 0.7515 0.5000  4 Pd 2.55-2.78, 4 Pt 2.76-2.82, 2 Nb 2.82
7 Pt 0.0696 0.4244 0.7500  5 Pt 2.72-2.93, 3 Nb 2.73-2.91, 2 Pd 2.76
8 Pt 0.3483 0.6517 0.2500  6 Pt 2.72-2.93, 2 Nb 2.77, 4 Pd 2.82
9 Pt 0.4244 0.0696 0.2500  5 Pt 2.72-2.93, 3 Nb 2.73-2.91, 2 Pd 2.76
10 Pt 0.5756 0.9304 0.7500  5 Pt 2.72-2.93, 3 Nb 2.73-2.91, 2 Pd 2.76
11 Pt 0.6517 0.3483 0.7500  6 Pt 2.72-2.93, 2 Nb 2.77, 4 Pd 2.82
12 Pt 0.9304 0.5756 0.2500  5 Pt 2.72-2.93, 3 Nb 2.73-2.91, 2 Pd 2.76

Material: NbPd4Pt
Method: DFT, GGA-PBE
State: relaxed

Computed properties:
Crystal system: orthorhombic
Raw total energy in eV/atom: -6.342
SG: Cmcm
Energy above the lowest structure with this stoichiometry in eV per atom: 0.0797

a = 13.0857 Å, b = 13.0857 Å, c = 4.0572 Å
α = 90.00°, β = 90.00°, γ = 162.83°
Closest atoms and distances in Å follow each position.
Atoms (fractional coordinates):
1 Nb 0.1719 0.8281 0.7500  2 Pt 2.71, 10 Pd 2.77-2.87
2 Nb 0.8281 0.1719 0.2500  2 Pt 2.71, 10 Pd 2.77-2.87
3 Pd 0.0990 0.9010 0.2500  4 Pd 2.67-2.74, 2 Nb 2.77, 4 Pt 2.82
4 Pd 0.2502 0.7498 0.2500  8 Pd 2.79-2.84, 4 Nb 2.81-2.87
5 Pd 0.3269 0.6731 0.7500  6 Pd 2.74-2.84, 2 Pt 2.78, 4 Nb 2.82
6 Pd 0.4714 0.5286 0.7500  4 Pd 2.51-2.67, 2 Pt 2.74
7 Pd 0.5286 0.4714 0.2500  4 Pd 2.51-2.67, 2 Pt 2.74
8 Pd 0.6731 0.3269 0.2500  6 Pd 2.74-2.84, 2 Pt 2.78, 4 Nb 2.82
9 Pd 0.7498 0.2502 0.7500  8 Pd 2.79-2.84, 4 Nb 2.81-2.87
10 Pd 0.9010 0.0990 0.7500  4 Pd 2.67-2.74, 2 Nb 2.77, 4 Pt 2.82
11 Pt 0.4005 0.5995 0.2500  2 Nb 2.71, 8 Pd 2.74-2.82
12 Pt 0.5995 0.4005 0.7500  2 Nb 2.71, 8 Pd 2.74-2.82

Material: NbPd5Pt2
Method: DFT, GGA-PBE
State: relaxed

Computed properties:
Crystal system: orthorhombic
Raw total energy in eV/atom: -6.355
SG: Pbam

a = 5.6457 Å, b = 11.2269 Å, c = 3.9440 Å
α = 90.00°, β = 90.00°, γ = 90.00°
Closest atoms and distances in Å follow each position.
Atoms (fractional coordinates):
1 Nb 0.0000 0.0000 0.0000  8 Pd 2.75-2.82, 4 Pt 2.76
2 Nb 0.5000 0.5000 0.0000  8 Pd 2.75-2.82, 4 Pt 2.76
3 Pd 0.0000 0.5000 0.0000  4 Pt 2.79, 6 Pd 2.80-2.86, 2 Nb 2.82
4 Pd 0.0009 0.2450 0.0000  1 Nb 2.75, 7 Pd 2.77-2.86, 4 Pt 2.79-2.87
5 Pd 0.2492 0.6250 0.5000  4 Pt 2.76-2.85, 6 Pd 2.77-2.83, 2 Nb 2.80
6 Pd 0.2508 0.1250 0.5000  4 Pt 2.76-2.85, 6 Pd 2.77-2.83, 2 Nb 2.80
7 Pd 0.4991 0.7450 0.0000  1 Nb 2.75, 7 Pd 2.77-2.86, 4 Pt 2.79-2.87
8 Pd 0.5000 0.0000 0.0000  4 Pt 2.79, 6 Pd 2.80-2.86, 2 Nb 2.82
9 Pd 0.5009 0.2550 0.0000  1 Nb 2.75, 7 Pd 2.77-2.86, 4 Pt 2.79-2.87
10 Pd 0.7492 0.8750 0.5000  4 Pt 2.76-2.85, 6 Pd 2.77-2.83, 2 Nb 2.80
11 Pd 0.7508 0.3750 0.5000  4 Pt 2.76-2.85, 6 Pd 2.77-2.83, 2 Nb 2.80
12 Pd 0.9991 0.7550 0.0000  1 Nb 2.75, 7 Pd 2.77-2.86, 4 Pt 2.79-2.87
13 Pt 0.2448 0.8793 0.5000  10 Pd 2.76-2.87, 2 Nb 2.76
14 Pt 0.2552 0.3793 0.5000  10 Pd 2.76-2.87, 2 Nb 2.76
15 Pt 0.7448 0.6207 0.5000  10 Pd 2.76-2.87, 2 Nb 2.76
16 Pt 0.7552 0.1207 0.5000  10 Pd 2.76-2.87, 2 Nb 2.76

Material: Nb5PdPt4
Method: DFT, GGA-PBE
State: relaxed

Computed properties:
Crystal system: tetragonal
Raw total energy in eV/atom: -8.562
SG: P4/mmm

a = 2.8316 Å, b = 2.8316 Å, c = 20.5756 Å
α = 90.00°, β = 90.00°, γ = 90.00°
Closest atoms and distances in Å follow each position.
Atoms (fractional coordinates):
1 Nb 0.0000 0.0000 0.0000  4 Nb 2.83, 8 Pt 2.87
2 Nb 0.0000 0.0000 0.2000  4 Nb 2.83, 8 Pt 2.87
3 Nb 0.0000 0.0000 0.3999  4 Nb 2.83, 4 Pt 2.87, 4 Pd 2.87
4 Nb 0.0000 0.0000 0.6001  4 Nb 2.83, 4 Pt 2.87, 4 Pd 2.87
5 Nb 0.0000 0.0000 0.8000  4 Nb 2.83, 8 Pt 2.87
6 Pd 0.5000 0.5000 0.5000  4 Pd 2.83, 8 Nb 2.87
7 Pt 0.5000 0.5000 0.1000  4 Pt 2.83, 8 Nb 2.87
8 Pt 0.5000 0.5000 0.2999  4 Pt 2.83, 8 Nb 2.87
9 Pt 0.5000 0.5000 0.7001  4 Pt 2.83, 8 Nb 2.87
10 Pt 0.5000 0.5000 0.9000  4 Pt 2.83, 8 Nb 2.87

Material: NbPd5Pt
Method: DFT, GGA-PBE
State: relaxed

Computed properties:
Crystal system: monoclinic
Raw total energy in eV/atom: -6.126
SG: C2/c

a = 4.9897 Å, b = 4.9897 Å, c = 9.6985 Å
α = 102.29°, β = 102.29°, γ = 98.33°
Closest atoms and distances in Å follow each position.
Atoms (fractional coordinates):
1 Nb 0.2294 0.7706 0.7500  9 Pd 2.60-2.85
2 Nb 0.7706 0.2294 0.2500  9 Pd 2.60-2.85
3 Pd 0.0765 0.2798 0.5417  5 Pd 2.64-2.85, 2 Nb 2.71-2.85, 2 Pt 2.75-2.91
4 Pd 0.1152 0.8848 0.2500  1 Nb 2.60, 6 Pd 2.64-2.91, 2 Pt 2.65
5 Pd 0.2798 0.0765 0.0417  5 Pd 2.64-2.85, 2 Nb 2.71-2.85, 2 Pt 2.75-2.91
6 Pd 0.3516 0.4411 0.3511  7 Pd 2.71-2.96, 2 Nb 2.74-2.82, 2 Pt 2.76-2.97
7 Pd 0.4411 0.3516 0.8511  7 Pd 2.71-2.96, 2 Nb 2.74-2.82, 2 Pt 2.76-2.97
8 Pd 0.5589 0.6484 0.1489  7 Pd 2.71-2.96, 2 Nb 2.74-2.82, 2 Pt 2.76-2.97
9 Pd 0.6484 0.5589 0.6489  7 Pd 2.71-2.96, 2 Nb 2.74-2.82, 2 Pt 2.76-2.97
10 Pd 0.7202 0.9235 0.9583  5 Pd 2.64-2.85, 2 Nb 2.71-2.85, 2 Pt 2.75-2.91
11 Pd 0.8848 0.1152 0.7500  1 Nb 2.60, 6 Pd 2.64-2.91, 2 Pt 2.65
12 Pd 0.9235 0.7202 0.4583  5 Pd 2.64-2.85, 2 Nb 2.71-2.85, 2 Pt 2.75-2.91
13 Pt 0.0000 0.5000 0.0000  8 Pd 2.65-2.91
14 Pt 0.5000 0.0000 0.5000  8 Pd 2.65-2.91

Material: NbPdPt6
Method: DFT, GGA-PBE
State: relaxed

Computed properties:
Crystal system: orthorhombic
Raw total energy in eV/atom: -6.804
SG: Fmmm
Energy above the lowest structure with this stoichiometry in eV per atom: 0.0000

a = 6.8961 Å, b = 6.2990 Å, c = 4.8729 Å
α = 75.02°, β = 61.93°, γ = 43.05°
Closest atoms and distances in Å follow each position.
Atoms (fractional coordinates):
1 Nb 0.0000 0.0000 0.0000  10 Pt 2.79-2.81, 2 Pd 2.82
2 Pd 0.5000 0.5000 0.5000  10 Pt 2.81-2.85, 2 Nb 2.82
3 Pt 0.1238 0.1238 0.3762  8 Pt 2.79-2.84, 2 Pd 2.81, 2 Nb 2.81
4 Pt 0.2475 0.2475 0.7525  1 Nb 2.79, 10 Pt 2.81-2.84, 1 Pd 2.85
5 Pt 0.3762 0.3762 0.1238  8 Pt 2.79-2.84, 2 Pd 2.81, 2 Nb 2.81
6 Pt 0.6238 0.6238 0.8762  8 Pt 2.79-2.84, 2 Pd 2.81, 2 Nb 2.81
7 Pt 0.7525 0.7525 0.2475  1 Nb 2.79, 10 Pt 2.81-2.84, 1 Pd 2.85
8 Pt 0.8762 0.8762 0.6238  8 Pt 2.79-2.84, 2 Pd 2.81, 2 Nb 2.81

Material: Nb2Pd7Pt
Method: DFT, GGA-PBE
State: relaxed

Computed properties:
Crystal system: orthorhombic
Raw total energy in eV/atom: -6.127
SG: Cmmm

a = 8.8080 Å, b = 8.8080 Å, c = 2.7610 Å
α = 90.00°, β = 90.00°, γ = 122.64°
Closest atoms and distances in Å follow each position.
Atoms (fractional coordinates):
1 Nb 0.1714 0.8286 0.0000  5 Pd 2.52-2.65, 2 Nb 2.76
2 Nb 0.8286 0.1714 0.0000  5 Pd 2.52-2.65, 2 Nb 2.76
3 Pd 0.0000 0.0000 0.0000  2 Nb 2.65, 6 Pd 2.69-2.76
4 Pd 0.1683 0.3613 0.0000  1 Nb 2.52, 5 Pd 2.69-2.77
5 Pd 0.3167 0.6833 0.5000  2 Nb 2.64, 6 Pd 2.76-2.77, 1 Pt 2.83
6 Pd 0.3613 0.1683 0.0000  1 Nb 2.52, 5 Pd 2.69-2.77
7 Pd 0.6387 0.8317 0.0000  1 Nb 2.52, 5 Pd 2.69-2.77
8 Pd 0.6833 0.3167 0.5000  2 Nb 2.64, 6 Pd 2.76-2.77, 1 Pt 2.83
9 Pd 0.8317 0.6387 0.0000  1 Nb 2.52, 5 Pd 2.69-2.77
10 Pt 0.5000 0.5000 0.5000  2 Pt 2.76, 10 Pd 2.83-2.84

Material: NbPd4Pt3
Method: DFT, GGA-PBE
State: relaxed

Computed properties:
Crystal system: orthorhombic
Raw total energy in eV/atom: -6.247
SG: Immm

a = 7.1009 Å, b = 7.1009 Å, c = 7.1009 Å
α = 157.47°, β = 104.78°, γ = 79.70°
Closest atoms and distances in Å follow each position.
Atoms (fractional coordinates):
1 Nb 0.0000 0.0000 0.0000  4 Pd 2.68, 4 Pt 2.68, 2 Nb 2.77
2 Pd 0.1396 0.8743 0.2653  1 Nb 2.68, 5 Pt 2.71-2.84, 3 Pd 2.74-2.77
3 Pd 0.3911 0.1257 0.2653  1 Nb 2.68, 5 Pt 2.71-2.84, 3 Pd 2.74-2.77
4 Pd 0.6089 0.8743 0.7347  1 Nb 2.68, 5 Pt 2.71-2.84, 3 Pd 2.74-2.77
5 Pd 0.8604 0.1257 0.7347  1 Nb 2.68, 5 Pt 2.71-2.84, 3 Pd 2.74-2.77
6 Pt 0.2104 0.7104 0.5000  2 Nb 2.68, 6 Pd 2.71-2.84, 2 Pt 2.77
7 Pt 0.5000 0.5000 0.0000  2 Pt 2.77, 8 Pd 2.82
8 Pt 0.7896 0.2896 0.5000  2 Nb 2.68, 6 Pd 2.71-2.84, 2 Pt 2.77

Material: Nb2PdPt9
Method: DFT, GGA-PBE
State: relaxed

Computed properties:
Crystal system: tetragonal
Raw total energy in eV/atom: -7.129
SG: P4/mmm

a = 3.9937 Å, b = 3.9937 Å, c = 11.9432 Å
α = 90.00°, β = 90.00°, γ = 90.00°
Closest atoms and distances in Å follow each position.
Atoms (fractional coordinates):
1 Nb 0.0000 0.0000 0.1753  12 Pt 2.71-2.89
2 Nb 0.0000 0.0000 0.8247  12 Pt 2.71-2.89
3 Pd 0.0000 0.0000 0.5000  12 Pt 2.82-2.86
4 Pt 0.0000 0.5000 0.0000  8 Pt 2.79-2.82, 4 Nb 2.89
5 Pt 0.0000 0.5000 0.3286  2 Nb 2.71, 8 Pt 2.81-2.86, 2 Pd 2.86
6 Pt 0.0000 0.5000 0.6714  2 Nb 2.71, 8 Pt 2.81-2.86, 2 Pd 2.86
7 Pt 0.5000 0.0000 0.0000  8 Pt 2.79-2.82, 4 Nb 2.89
8 Pt 0.5000 0.0000 0.3286  2 Nb 2.71, 8 Pt 2.81-2.86, 2 Pd 2.86
9 Pt 0.5000 0.0000 0.6714  2 Nb 2.71, 8 Pt 2.81-2.86, 2 Pd 2.86
10 Pt 0.5000 0.5000 0.1637  8 Pt 2.79-2.81, 4 Nb 2.83
11 Pt 0.5000 0.5000 0.5000  4 Pd 2.82, 8 Pt 2.86
12 Pt 0.5000 0.5000 0.8363  8 Pt 2.79-2.81, 4 Nb 2.83

Material: NbPd3Pt3
Method: DFT, GGA-PBE
State: relaxed

Computed properties:
Crystal system: cubic
Raw total energy in eV/atom: -6.466
SG: P2_13
Energy above the lowest structure with this stoichiometry in eV per atom: 0.0000

a = 7.7709 Å, b = 7.7709 Å, c = 7.7709 Å
α = 90.00°, β = 90.00°, γ = 90.00°
Closest atoms and distances in Å follow each position.
Atoms (fractional coordinates):
1 Nb 0.0980 0.4019 0.5980  6 Pt 2.70-2.71, 5 Pd 2.73-2.95
2 Nb 0.4019 0.5980 0.0980  6 Pt 2.70-2.71, 5 Pd 2.73-2.95
3 Nb 0.5980 0.0980 0.4019  6 Pt 2.70-2.71, 5 Pd 2.73-2.95
4 Nb 0.9020 0.9020 0.9020  6 Pt 2.70-2.71, 5 Pd 2.73-2.95
5 Pd 0.0584 0.5584 0.9416  6 Pt 2.70-2.75, 3 Nb 2.95
6 Pd 0.1106 0.1106 0.1106  6 Pt 2.65-2.71, 1 Nb 2.81, 3 Pd 2.91
7 Pd 0.1994 0.8006 0.3006  1 Nb 2.73, 6 Pt 2.86-2.96, 3 Pd 2.91
8 Pd 0.3006 0.1994 0.8006  1 Nb 2.73, 6 Pt 2.86-2.96, 3 Pd 2.91
9 Pd 0.3894 0.8894 0.6106  6 Pt 2.65-2.71, 1 Nb 2.81, 3 Pd 2.91
10 Pd 0.4416 0.4416 0.4416  6 Pt 2.70-2.75, 3 Nb 2.95
11 Pd 0.5584 0.9416 0.0584  6 Pt 2.70-2.75, 3 Nb 2.95
12 Pd 0.6106 0.3894 0.8894  6 Pt 2.65-2.71, 1 Nb 2.81, 3 Pd 2.91
13 Pd 0.6994 0.6994 0.6994  1 Nb 2.73, 6 Pt 2.86-2.96, 3 Pd 2.91
14 Pd 0.8006 0.3006 0.1994  1 Nb 2.73, 6 Pt 2.86-2.96, 3 Pd 2.91
15 Pd 0.8894 0.6106 0.3894  6 Pt 2.65-2.71, 1 Nb 2.81, 3 Pd 2.91
16 Pd 0.9416 0.0584 0.5584  6 Pt 2.70-2.75, 3 Nb 2.95
17 Pt 0.0725 0.7471 0.6424  6 Pd 2.65-2.96, 2 Nb 2.70-2.71, 2 Pt 2.74
18 Pt 0.1424 0.4275 0.2529  6 Pd 2.65-2.96, 2 Nb 2.70-2.71, 2 Pt 2.74
19 Pt 0.2471 0.8576 0.9275  6 Pd 2.65-2.96, 2 Nb 2.70-2.71, 2 Pt 2.74
20 Pt 0.2529 0.1424 0.4275  6 Pd 2.65-2.96, 2 Nb 2.70-2.71, 2 Pt 2.74
21 Pt 0.3576 0.5725 0.7529  6 Pd 2.65-2.96, 2 Nb 2.70-2.71, 2 Pt 2.74
22 Pt 0.4275 0.2529 0.1424  6 Pd 2.65-2.96, 2 Nb 2.70-2.71, 2 Pt 2.74
23 Pt 0.5725 0.7529 0.3576  6 Pd 2.65-2.96, 2 Nb 2.70-2.71, 2 Pt 2.74
24 Pt 0.6424 0.0725 0.7471  6 Pd 2.65-2.96, 2 Nb 2.70-2.71, 2 Pt 2.74
25 Pt 0.7471 0.6424 0.0725  6 Pd 2.65-2.96, 2 Nb 2.70-2.71, 2 Pt 2.74
26 Pt 0.7529 0.3576 0.5725  6 Pd 2.65-2.96, 2 Nb 2.70-2.71, 2 Pt 2.74
27 Pt 0.8576 0.9275 0.2471  6 Pd 2.65-2.96, 2 Nb 2.70-2.71, 2 Pt 2.74
28 Pt 0.9275 0.2471 0.8576  6 Pd 2.65-2.96, 2 Nb 2.70-2.71, 2 Pt 2.74